Na2B3C | GGA-PBE | relaxed

abc: 5.796 17.239 5.091
angles: 90.00 90.96 90.00
Space group Cm (No. 8)
Unique sites:
1 Na 0.000 0.123 0.000 x4
2 Na 0.000 0.376 0.000 x4
3 Na 0.252 0.375 0.502 x4
4 Na 0.253 0.126 0.501 x4
5 B 0.009 0.250 0.343 x4
6 B 0.024 0.000 0.319 x2
7 B 0.243 0.500 0.172 x2
8 B 0.243 0.500 0.824 x2
9 B 0.244 0.250 0.142 x4
10 B 0.265 0.000 0.838 x2
11 B 0.493 0.000 0.345 x2
12 B 0.494 0.500 0.662 x2
13 B 0.499 0.250 0.681 x4
14 C 0.253 0.000 0.163 x2
15 C 0.256 0.250 0.835 x4
16 C 0.492 0.000 0.669 x2

Values from the calculation:
polymorph energy (0 for the lowest one)	41	meV/atom
density of states at the Fermi level	0.2670	states/eV per atom
formation energy from the elements	174.1	meV per atom
size of the total moment	0.000	μB/atom